#w
SiTe2Pt | Alexandria via LeMat-Bulk | GGA-PBEsol | optimized geometry; SG = Cmmm
1.0
4.009 0.000 0.000
0.000 5.859 0.000
0.000 0.000 7.458
Si Te Pt
2 4 2
Direct
0.000 0.000 0.000
0.500 0.500 0.000
0.000 0.500 0.261
0.000 0.500 0.739
0.500 0.000 0.261
0.500 0.000 0.739
0.000 0.000 0.500
0.500 0.500 0.500

***

#x
SiTe2Pt | Alexandria via LeMat-Bulk | GGA-PBEsol | optimized geometry; SG = R-3m
1.0
3.959 0.000 0.000
-1.980 3.429 0.000
0.000 0.000 18.999
Si Te Pt
3 6 3
Direct
0.000 0.000 0.000
0.333 0.667 0.667
0.667 0.333 0.333
0.000 0.000 0.247
0.000 0.000 0.753
0.333 0.667 0.420
0.333 0.667 0.913
0.667 0.333 0.087
0.667 0.333 0.580
0.000 0.000 0.500
0.333 0.667 0.167
0.667 0.333 0.833

***

Unit: meV per atom. Relative energies: #w 420; #x 0.

***

#w
Sr3Pt2 | Alexandria via LeMat-Bulk | GGA-PBEsol | optimized geometry; SG = R-3
1.0
4.603 2.658 5.840
-4.603 2.658 5.840
0.000 -5.315 5.840
Sr Pt
9 6
Direct
0.000 0.000 0.000
0.155 0.671 0.393
0.201 0.201 0.201
0.329 0.607 0.845
0.393 0.155 0.671
0.607 0.845 0.329
0.671 0.393 0.155
0.799 0.799 0.799
0.845 0.329 0.607
0.041 0.414 0.849
0.151 0.959 0.586
0.414 0.849 0.041
0.586 0.151 0.959
0.849 0.041 0.414
0.959 0.586 0.151

***

#x
Sr3Pt2 | Alexandria via LeMat-Bulk | GGA-PBEsol | optimized geometry; SG = P-3m1
1.0
5.114 0.000 0.000
-2.557 4.429 0.000
0.000 0.000 6.310
Sr Pt
3 2
Direct
0.000 0.000 0.000
0.333 0.667 0.330
0.667 0.333 0.670
0.333 0.667 0.832
0.667 0.333 0.168

***

Unit: meV per atom. Relative energies: #w 0; #x 60.

***

#w
Sr5Pt3 | Alexandria via LeMat-Bulk | GGA-PBEsol | optimized geometry; SG = P6_3/mcm
1.0
8.819 0.000 0.000
-4.410 7.638 0.000
0.000 0.000 6.818
Sr Pt
10 6
Direct
0.000 0.264 0.250
0.000 0.736 0.750
0.264 0.000 0.250
0.264 0.264 0.750
0.333 0.667 0.000
0.333 0.667 0.500
0.667 0.333 0.000
0.667 0.333 0.500
0.736 0.000 0.750
0.736 0.736 0.250
0.000 0.389 0.750
0.000 0.611 0.250
0.389 0.000 0.750
0.389 0.389 0.250
0.611 0.000 0.250
0.611 0.611 0.750

***

#x
Sr5Pt3 | Alexandria via LeMat-Bulk | GGA-PBEsol | optimized geometry; SG = I4/mcm
1.0
-5.953 5.953 3.141
5.953 -5.953 3.141
5.953 5.953 -3.141
Sr Pt
10 6
Direct
0.084 0.790 0.874
0.210 0.084 0.294
0.250 0.750 0.500
0.290 0.584 0.874
0.416 0.290 0.706
0.584 0.710 0.294
0.710 0.416 0.126
0.750 0.250 0.500
0.790 0.916 0.706
0.916 0.210 0.126
0.155 0.345 0.500
0.250 0.250 0.000
0.345 0.845 0.191
0.655 0.155 0.809
0.750 0.750 0.000
0.845 0.655 0.500

***

Unit: meV per atom. Relative energies: #w 0; #x 27.

***

#w
SrTaPt | Alexandria via LeMat-Bulk | GGA-PBEsol | optimized geometry; SG = I4mm
1.0
3.419 0.000 0.000
0.000 3.419 0.000
0.000 0.000 12.205
Sr Ta Pt
2 2 2
Direct
0.000 0.000 0.000
0.500 0.500 0.500
0.000 0.000 0.280
0.500 0.500 0.780
0.000 0.000 0.702
0.500 0.500 0.202

***

#x
SrTaPt | Alexandria via LeMat-Bulk | GGA-PBEsol | optimized geometry; SG = F-43m
1.0
6.632 0.000 0.000
0.000 6.632 0.000
0.000 0.000 6.632
Sr Ta Pt
4 4 4
Direct
0.000 0.000 0.000
0.000 0.500 0.500
0.500 0.000 0.500
0.500 0.500 0.000
0.000 0.000 0.500
0.000 0.500 0.000
0.500 0.000 0.000
0.500 0.500 0.500
0.250 0.250 0.250
0.250 0.750 0.750
0.750 0.250 0.750
0.750 0.750 0.250

***

Unit: meV per atom. Relative energies: #w 0; #x 590.